(1)
Below is a relaxed structure of CuNiOs, with properties calculated at the PBE level.

a b c (Å): 8.196 3.702 5.208
angles (deg): 90.00 109.21 90.00
Space group C2/m (No. 12)
Asymmetric unit:
Cu  0.004  0.000  0.266 [4 per cell]
Ni  0.172  0.500  0.581 [4 per cell]
Os  0.167  0.500  0.076 [4 per cell]

Calculated values
Calculated formation energy = 0.153 eV per atom
Energy above the lowest structure with this stoichiometry = 6.7 meV per atom



(2)
Below is a relaxed structure of Y2Ho3Ag3, with properties calculated at the PBE level.

a b c (Å): 3.664 5.244 21.516
angles (deg): 90.00 90.00 90.00
Space group Immm (No. 71)
Asymmetric unit:
Y  0.000  0.000  0.231 [4 per cell]
Ho  0.000  0.000  0.000 [2 per cell]
Ho  0.000  0.500  0.120 [4 per cell]
Ag  0.000  0.000  0.500 [2 per cell]
Ag  0.000  0.500  0.384 [4 per cell]

Calculated values
Calculated formation energy = -0.219 eV per atom



(3)
Below is a relaxed structure of ReSiPt2, with properties calculated at the PBE level.

a b c (Å): 9.516 2.803 4.629
angles (deg): 90.00 108.16 90.00
Space group C2/m (No. 12)
Asymmetric unit:
Re  0.000  0.000  0.000 [2 per cell]
Si  0.000  0.500  0.500 [2 per cell]
Pt  0.229  0.000  0.741 [4 per cell]

Calculated values
Raw formation energy = -1.978 kcal/mol of atoms



Number 3 is which compound?
ReSiPt2



What did the first record say?
Below is a relaxed structure of CuNiOs, with properties calculated at the PBE level.

a b c (Å): 8.196 3.702 5.208
angles (deg): 90.00 109.21 90.00
Space group C2/m (No. 12)
Asymmetric unit:
Cu  0.004  0.000  0.266 [4 per cell]
Ni  0.172  0.500  0.581 [4 per cell]
Os  0.167  0.500  0.076 [4 per cell]

Calculated values
Calculated formation energy = 0.153 eV per atom
Energy above the lowest structure with this stoichiometry = 6.7 meV per atom